GGA-PBEsol Lu2O3, optimized geometry; theoretical density = 10700 kg/m3; electronic total energy = -8.8283 eV/atom; DOS at the Fermi energy = 0.00 states/eV/f.u.; calculated volume = 12.35 A^3/atom; raw formation energy = -3.7298 eV/atom
1.0
6.765 -1.675 0.000
6.765 1.675 0.000
-1.467 0.000 8.176
Lu O
6 9
Cartesian
-0.020 0.000 2.567
3.648 0.000 2.967
4.916 0.000 0.114
7.147 0.000 8.062
8.414 0.000 5.209
12.083 0.000 5.609
0.578 0.000 6.388
1.673 0.000 3.831
2.628 0.000 1.003
5.123 0.000 6.895
6.031 0.000 4.088
6.939 0.000 1.281
9.434 0.000 7.173
10.390 0.000 4.345
11.485 0.000 1.788